Computed, not measured: an optimized crystal structure of LiMg4Au at the PBE-GGA level of DFT.

For the formation energy from the elements, the calculation gives -0.10 eV/atom. As for the size of the total moment: 0.000 μB/f.u.

Cell and atoms, written as CIF:
```
data_LiMg4Au
_cell_length_a 4.6012
_cell_length_b 4.6012
_cell_length_c 6.7038
_cell_angle_alpha 90.00
_cell_angle_beta 90.00
_cell_angle_gamma 90.00
_symmetry_space_group_name_H-M 'P 4/m m m'
_symmetry_Int_Tables_number 123
_symmetry_space_group_name_Hall '-P 4 2'
loop_
_atom_site_label
_atom_site_fract_x
_atom_site_fract_y
_atom_site_fract_z
Li1 0.0000 0.0000 0.0000
Mg1 0.0000 0.5000 0.2640
Au1 0.5000 0.5000 0.5000
```